Record 1
InAs2Pd2: relaxed, PBE.

Calculated values
SG	I4/mmm, No. 139
E	-0.16976	hartree per atom
formation energy from the elements	-0.67	eV/f.u.

a b c (Å): 3.834 3.834 13.000
angles (deg): 90.00 90.00 90.00
Fractional positions:
In (0.000, 0.000, 0.000)
In (0.500, 0.500, 0.500)
As (0.000, 0.500, 0.250)
As (0.000, 0.500, 0.750)
As (0.500, 0.000, 0.250)
As (0.500, 0.000, 0.750)
Pd (0.000, 0.000, 0.396)
Pd (0.000, 0.000, 0.604)
Pd (0.500, 0.500, 0.104)
Pd (0.500, 0.500, 0.896)


Record 2
In3AsPd3: relaxed, PBE.

Calculated values
SG	C2/m, No. 12
E	-0.16188	hartree per atom
formation energy from the elements	-2.39	eV/f.u.

a b c (Å): 7.443 7.443 6.774
angles (deg): 97.66 97.66 125.80
Fractional positions:
In (0.180, 0.820, 0.000)
In (0.252, 0.748, 0.500)
In (0.361, 0.361, 0.144)
In (0.639, 0.639, 0.856)
In (0.748, 0.252, 0.500)
In (0.820, 0.180, 0.000)
As (0.236, 0.236, 0.557)
As (0.764, 0.764, 0.443)
Pd (0.018, 0.018, 0.799)
Pd (0.181, 0.486, 0.790)
Pd (0.486, 0.181, 0.790)
Pd (0.514, 0.819, 0.210)
Pd (0.819, 0.514, 0.210)
Pd (0.982, 0.982, 0.201)


Look up the formation energy from the elements of the first one. -0.67 eV/f.u.


Which value of formation energy from the elements does entry 1 give? -0.67 eV/f.u.


What is the formula in the first record? InAs2Pd2